Entry from the Alexandria database: a relaxed structure of BeTlIr2 (GGA-PBE).

The structure in POSCAR format:
```
BeTlIr2
1.0
-0.208 -1.721 -3.240
1.465 -3.402 1.714
-3.803 -1.194 0.879
Be Tl Ir
1 1 2
direct
0.500 0.000 0.500
0.500 0.500 0.000
0.000 0.000 0.000
0.000 0.500 0.500
```

Output
Relative energy among the computed polymorphs (eV/atom): 0.253
Crystal system: tetragonal
Uncorrected energy (eV per atom): -5.56
Energy of formation from the pure elements (meV/atom): 389
Space group: P4/mmm (123)

---

Entry from the Alexandria database: a relaxed structure of WC2 (GGA-PBE).

The structure in POSCAR format:
```
WC2
1.0
0.000 3.073 3.073
3.073 0.000 3.073
3.073 3.073 0.000
W C
2 4
direct
0.500 0.500 0.500
0.750 0.750 0.750
0.625 0.125 0.125
0.125 0.625 0.125
0.125 0.125 0.625
0.125 0.125 0.125
```

Output
Relative energy among the computed polymorphs (eV/atom): 2.190
Crystal system: cubic
Uncorrected energy (eV per atom): -7.76
Energy of formation from the pure elements (meV/atom): 2706
Space group: Fd-3m (227)

---

Entry from the Alexandria database: a relaxed structure of TcNi2Se (GGA-PBE).

The structure in POSCAR format:
```
TcNi2Se
1.0
-3.267 -0.630 -4.583
-0.099 -3.293 3.152
-2.802 0.291 0.217
Ni Se Tc
2 1 1
direct
0.000 0.000 0.000
0.500 0.000 0.500
0.000 0.500 0.500
0.500 0.500 0.000
```

Output
Crystal system: orthorhombic
Uncorrected energy (eV per atom): -6.11
Space group: Cmmm (65)